Entry 1:
Density functional theory data (meta-GGA SCAN) for MoP2SeCl at its PBEsol-relaxed geometry.

Cell lengths 4.717, 4.717, 4.639 Å; angles 90.00, 90.00, 90.00 degrees
Space group P4/mmm (No. 123)
One atom of each set of equivalent atoms:
Mo1 0.000 0.000 0.000 x1
P1 0.000 0.500 0.500 x2
Se1 0.500 0.500 0.500 x1
Cl1 0.500 0.500 0.000 x1

- Total energy: -0.5692 hartree per atom
- E above lowest polymorph: 18.62 kcal/mol of atoms
- Uncorrected formation energy: 121 kJ per mole of atoms

***

Entry 2:
Density functional theory data (meta-GGA SCAN) for TiMoP2Cl at its PBEsol-relaxed geometry.

Cell lengths 4.605, 4.605, 4.760 Å; angles 90.00, 90.00, 90.00 degrees
Space group P4/mmm (No. 123)
One atom of each set of equivalent atoms:
Ti1 0.000 0.000 0.000 x1
Mo1 0.500 0.500 0.500 x1
P1 0.000 0.500 0.500 x2
Cl1 0.500 0.500 0.000 x1

- Total energy: -0.5748 hartree per atom
- Uncorrected formation energy: 29 kJ per mole of atoms

***

Entry 3:
Density functional theory data (meta-GGA SCAN) for TlMo2PCl at its PBEsol-relaxed geometry.

Cell lengths 4.574, 4.574, 4.999 Å; angles 90.00, 90.00, 90.00 degrees
Space group P4/mmm (No. 123)
One atom of each set of equivalent atoms:
Tl1 0.000 0.000 0.000 x1
Mo1 0.000 0.500 0.500 x2
P1 0.500 0.500 0.500 x1
Cl1 0.500 0.500 0.000 x1

- Total energy: -1.1478 hartree per atom
- Uncorrected formation energy: 84 kJ per mole of atoms

***

Entry 4:
Density functional theory data (meta-GGA SCAN) for MoPWCl2 at its PBEsol-relaxed geometry.

Cell lengths 4.415, 4.415, 5.268 Å; angles 90.00, 90.00, 90.00 degrees
Space group P4/mmm (No. 123)
One atom of each set of equivalent atoms:
Mo1 0.000 0.000 0.000 x1
P1 0.500 0.500 0.500 x1
W1 0.000 0.000 0.500 x1
Cl1 0.000 0.500 0.000 x2

- Total energy: -0.9214 hartree per atom
- Uncorrected formation energy: 107 kJ per mole of atoms

***

Entry 5:
Density functional theory data (meta-GGA SCAN) for ZnMoPCl2 at its PBEsol-relaxed geometry.

Cell lengths 4.725, 4.725, 4.725 Å; angles 90.00, 90.00, 90.00 degrees
Space group P4/mmm (No. 123)
One atom of each set of equivalent atoms:
Zn1 0.000 0.000 0.000 x1
Mo1 0.500 0.500 0.500 x1
P1 0.500 0.500 0.000 x1
Cl1 0.000 0.500 0.500 x2

- Total energy: -0.5453 hartree per atom
- Uncorrected formation energy: 11 kJ per mole of atoms

***

Entry 6:
Density functional theory data (meta-GGA SCAN) for MoPbCl3 at its PBEsol-relaxed geometry.

Cell lengths 4.841, 4.841, 4.841 Å; angles 90.00, 90.00, 90.00 degrees
Space group Pm-3m (No. 221)
One atom of each set of equivalent atoms:
Mo1 0.000 0.000 0.000 x1
Pb1 0.500 0.500 0.500 x1
Cl1 0.000 0.000 0.500 x3

- Total energy: -0.9998 hartree per atom
- Uncorrected formation energy: -28 kJ per mole of atoms

***

> Look up the uncorrected formation energy of the sixth one.

-28 kJ per mole of atoms